Material: KMgCrF6
Method: DFT, PBE+U
State: relaxed

Geometry as POSCAR:
```
KMgCrF6
1.0
5.3249 0.0000 0.0000
-2.6624 4.6115 0.0000
0.0000 0.0000 11.4444
K Mg Cr F
2 2 2 12
direct
0.0000 0.0000 0.0000
0.0000 0.0000 0.5000
0.3333 0.6667 0.2500
0.6667 0.3333 0.7500
0.3333 0.6667 0.7500
0.6667 0.3333 0.2500
0.0095 0.3798 0.6561
0.0095 0.6297 0.8439
0.3703 0.3798 0.8439
0.3703 0.9905 0.6561
0.3798 0.0095 0.1561
0.3798 0.3703 0.3439
0.6202 0.6297 0.6561
0.6202 0.9905 0.8439
0.6297 0.0095 0.3439
0.6297 0.6202 0.1561
0.9905 0.3703 0.1561
0.9905 0.6202 0.3439
```

Values from the calculation:
Density in Mg/m³: 2.711
Total energy in eV/atom: -5.4613
Magnetic moment in μB per cell: 6.00